A plane-wave DFT calculation with PBE was carried out for a relaxed LiNiH3 crystal.

Calculated values
electronic total energy = -37.63 eV for the cell shown
total moment = 0.0 μB/f.u.

Cell lengths 2.8853, 4.2249, 5.2744 Å; angles 90.00, 90.00, 90.00 degrees
Last column: nearest neighbours and their distance in Å.
Space group Pmmn (No. 59, origin choice 2)
Unique sites:
Li: 0.2500 0.2500 0.1160 [2 per cell]  2 H 1.83
Ni: 0.2500 0.7500 0.4054 [2 per cell]  7 H 1.62-1.77
H: 0.2500 0.0128 0.6395 [4 per cell]  3 Ni 1.66-1.77
H: 0.2500 0.7500 0.0989 [2 per cell]  1 Ni 1.62

A plane-wave DFT calculation with PBE was carried out for a relaxed Li2NiH5 crystal.

Calculated values
electronic total energy = -112.56 eV for the cell shown
total moment = 0.0 μB/f.u.

Cell lengths 3.4854, 9.0076, 8.2358 Å; angles 90.00, 90.00, 90.00 degrees
Last column: nearest neighbours and their distance in Å.
Space group Cmcm (No. 63)
Unique sites:
Li: 0.0000 0.1511 0.0811 [8 per cell]  5 H 1.84-2.06
Ni: 0.0000 0.1754 0.7500 [4 per cell]  4 H 1.51-1.52
H: 0.0000 0.0531 0.6253 [8 per cell]  1 Ni 1.51
H: 0.0000 0.2917 0.6163 [8 per cell]  1 Ni 1.52
H: 0.0000 0.3231 0.2500 [4 per cell]  2 Ni 1.74